# 1
The following is a GGA-PBE calculation of LiFe2AgHg after structural relaxation, from Alexandria via LeMat-Bulk.

Cell and atoms, written as CIF:
```
data_LiFe2AgHg
_chemical_formula_sum 'Li1 Fe2 Ag1 Hg1'
_cell_length_a 4.2292
_cell_length_b 4.2292
_cell_length_c 4.5422
_cell_angle_alpha 90.00
_cell_angle_beta 90.00
_cell_angle_gamma 90.00
_symmetry_space_group_name_H-M 'P 4/m m m'
_symmetry_Int_Tables_number 123
_symmetry_space_group_name_Hall '-P 4 2'
loop_
_atom_site_label
_atom_site_type_symbol
_atom_site_fract_x
_atom_site_fract_y
_atom_site_fract_z
Li1 Li 0.0000 0.0000 0.0000
Fe1 Fe 0.0000 0.5000 0.0000
Ag1 Ag 0.5000 0.5000 0.5000
Hg1 Hg 0.0000 0.0000 0.5000
```

Output
ΔE_f: 0.91 eV/atom
Total magnetization: 1.0460 μB per atom



# 2
The following is a GGA-PBE calculation of GaBi2Au after structural relaxation, from Alexandria via LeMat-Bulk.

Cell and atoms, written as CIF:
```
data_GaBi2Au
_chemical_formula_sum 'Ga4 Bi8 Au4'
_cell_length_a 6.4913
_cell_length_b 6.4913
_cell_length_c 12.7952
_cell_angle_alpha 90.00
_cell_angle_beta 90.00
_cell_angle_gamma 90.00
_symmetry_space_group_name_H-M 'I -4 2 d'
_symmetry_Int_Tables_number 122
_symmetry_space_group_name_Hall 'I -4 2bw'
loop_
_atom_site_label
_atom_site_type_symbol
_atom_site_fract_x
_atom_site_fract_y
_atom_site_fract_z
Ga1 Ga 0.0000 0.0000 0.0000
Bi1 Bi 0.2483 0.2500 0.6250
Au1 Au 0.0000 0.0000 0.5000
```

Output
ΔE_f: 0.12 eV/atom
Total magnetization: 0.0000 μB per atom



# 3
The following is a GGA-PBE calculation of Ac3CuSi2 after structural relaxation, from Alexandria via LeMat-Bulk.

Cell and atoms, written as CIF:
```
data_Ac3CuSi2
_chemical_formula_sum 'Ac12 Cu4 Si8'
_cell_length_a 12.4246
_cell_length_b 4.4375
_cell_length_c 12.5772
_cell_angle_alpha 90.00
_cell_angle_beta 90.00
_cell_angle_gamma 90.00
_symmetry_space_group_name_H-M 'P n m a'
_symmetry_Int_Tables_number 62
loop_
_symmetry_equiv_pos_as_xyz
'x,y,z'
'-x,-y,-z'
'-x+1/2,-y,z+1/2'
'x+1/2,y,-z+1/2'
'x+1/2,-y+1/2,-z+1/2'
'-x+1/2,y+1/2,z+1/2'
'-x,y+1/2,-z'
'x,-y+1/2,z'
loop_
_atom_site_label
_atom_site_type_symbol
_atom_site_fract_x
_atom_site_fract_y
_atom_site_fract_z
Ac1 Ac 0.0648 0.2500 0.1210
Ac2 Ac 0.1171 0.7500 0.5576
Ac3 Ac 0.2017 0.2500 0.8011
Cu1 Cu 0.1313 0.2500 0.3642
Si1 Si 0.0359 0.7500 0.3163
Si2 Si 0.1999 0.7500 0.9870
```

Output
Total magnetization: 0.0004 μB per atom
ΔE_f (raw): -0.46 eV per atom
Excess energy over the best structure of this formula in the dataset: 0.000 eV per atom



# 4
The following is a GGA-PBE calculation of Cd3Ag3Au2 after structural relaxation, from Alexandria via LeMat-Bulk.

Cell and atoms, written as CIF:
```
data_Cd3Ag3Au2
_chemical_formula_sum 'Cd3 Ag3 Au2'
_cell_length_a 4.0781
_cell_length_b 4.3103
_cell_length_c 9.1190
_cell_angle_alpha 103.30
_cell_angle_beta 102.74
_cell_angle_gamma 90.01
_symmetry_space_group_name_H-M 'P -1'
_symmetry_Int_Tables_number 2
loop_
_symmetry_equiv_pos_as_xyz
'x,y,z'
'-x,-y,-z'
loop_
_atom_site_label
_atom_site_type_symbol
_atom_site_fract_x
_atom_site_fract_y
_atom_site_fract_z
Cd1 Cd 0.0000 0.0000 0.0000
Cd2 Cd 0.1301 0.6299 0.2597
Ag1 Ag 0.3750 0.8748 0.7508
Ag2 Ag 0.5000 0.5000 0.0000
Au1 Au 0.2496 0.2486 0.4987
```

Output
ΔE_f: -0.09 eV/atom
Total magnetization: 0.0000 μB per atom



# 5
The following is a GGA-PBE calculation of ReNi2Hg after structural relaxation, from Alexandria via LeMat-Bulk.

Cell and atoms, written as CIF:
```
data_ReNi2Hg
_chemical_formula_sum 'Re1 Ni2 Hg1'
_cell_length_a 2.7397
_cell_length_b 3.5617
_cell_length_c 5.9110
_cell_angle_alpha 90.00
_cell_angle_beta 90.00
_cell_angle_gamma 90.00
_symmetry_space_group_name_H-M 'P m m m'
_symmetry_Int_Tables_number 47
loop_
_symmetry_equiv_pos_as_xyz
'x,y,z'
'-x,-y,-z'
'-x,-y,z'
'x,y,-z'
'x,-y,-z'
'-x,y,z'
'-x,y,-z'
'x,-y,z'
loop_
_atom_site_label
_atom_site_type_symbol
_atom_site_fract_x
_atom_site_fract_y
_atom_site_fract_z
Re1 Re 0.0000 0.0000 0.0000
Ni1 Ni 0.5000 0.5000 0.2100
Hg1 Hg 0.0000 0.0000 0.5000
```

Output
ΔE_f: 0.25 eV/atom
Total magnetization: 0.0000 μB per atom



# 6
The following is a GGA-PBE calculation of Al2TlSe after structural relaxation, from Alexandria via LeMat-Bulk.

Cell and atoms, written as CIF:
```
data_Al2TlSe
_chemical_formula_sum 'Al4 Tl2 Se2'
_cell_length_a 11.2284
_cell_length_b 3.5113
_cell_length_c 7.8141
_cell_angle_alpha 90.00
_cell_angle_beta 133.64
_cell_angle_gamma 90.00
_symmetry_space_group_name_H-M 'C 1 2/m 1'
_symmetry_Int_Tables_number 12
loop_
_symmetry_equiv_pos_as_xyz
'x,y,z'
'-x,-y,-z'
'-x,y,-z'
'x,-y,z'
'x+1/2,y+1/2,z'
'-x+1/2,-y+1/2,-z'
'-x+1/2,y+1/2,-z'
'x+1/2,-y+1/2,z'
loop_
_atom_site_label
_atom_site_type_symbol
_atom_site_fract_x
_atom_site_fract_y
_atom_site_fract_z
Al1 Al 0.1264 0.0000 0.3308
Tl1 Tl 0.0000 0.5000 0.5000
Se1 Se 0.0000 0.5000 0.0000
```

Output
Total magnetization: 0.0000 μB per atom
ΔE_f (raw): 0.00 eV per atom
Excess energy over the best structure of this formula in the dataset: 0.121 eV per atom



# 7
The following is a GGA-PBE calculation of BaSr2Cu2 after structural relaxation, from Alexandria via LeMat-Bulk.

Cell and atoms, written as CIF:
```
data_BaSr2Cu2
_chemical_formula_sum 'Ba2 Sr4 Cu4'
_cell_length_a 5.6517
_cell_length_b 5.6517
_cell_length_c 11.9617
_cell_angle_alpha 90.00
_cell_angle_beta 90.00
_cell_angle_gamma 90.00
_symmetry_space_group_name_H-M 'I 4/m m m'
_symmetry_Int_Tables_number 139
_symmetry_space_group_name_Hall '-I 4 2'
loop_
_atom_site_label
_atom_site_type_symbol
_atom_site_fract_x
_atom_site_fract_y
_atom_site_fract_z
Ba1 Ba 0.0000 0.0000 0.0000
Sr1 Sr 0.0000 0.0000 0.3377
Cu1 Cu 0.0000 0.5000 0.2500
```

Output
ΔE_f: 0.18 eV/atom
Total magnetization: 0.0000 μB per atom
Excess energy over the best structure of this formula in the dataset: 0.187 eV per atom



# 8
The following is a GGA-PBE calculation of AlTl2Au after structural relaxation, from Alexandria via LeMat-Bulk.

Cell and atoms, written as CIF:
```
data_AlTl2Au
_chemical_formula_sum 'Al1 Tl2 Au1'
_cell_length_a 4.5167
_cell_length_b 4.5167
_cell_length_c 4.7041
_cell_angle_alpha 90.00
_cell_angle_beta 90.00
_cell_angle_gamma 90.00
_symmetry_space_group_name_H-M 'P 4/m m m'
_symmetry_Int_Tables_number 123
_symmetry_space_group_name_Hall '-P 4 2'
loop_
_atom_site_label
_atom_site_type_symbol
_atom_site_fract_x
_atom_site_fract_y
_atom_site_fract_z
Al1 Al 0.0000 0.0000 0.0000
Tl1 Tl 0.0000 0.5000 0.5000
Au1 Au 0.5000 0.5000 0.0000
```

Output
ΔE_f: 0.17 eV/atom
Total magnetization: 0.0000 μB per atom
Excess energy over the best structure of this formula in the dataset: 0.226 eV per atom



# 9
The following is a GGA-PBE calculation of K4U3GaTe8 after structural relaxation, from Alexandria via LeMat-Bulk.

Cell and atoms, written as CIF:
```
data_K4U3GaTe8
_chemical_formula_sum 'K12 U9 Ga3 Te24'
_cell_length_a 9.1894
_cell_length_b 9.1894
_cell_length_c 24.2492
_cell_angle_alpha 90.00
_cell_angle_beta 90.00
_cell_angle_gamma 120.00
_symmetry_space_group_name_H-M 'R -3 m'
_symmetry_Int_Tables_number 166
_symmetry_space_group_name_Hall '-R 3 2"'
loop_
_atom_site_label
_atom_site_type_symbol
_atom_site_fract_x
_atom_site_fract_y
_atom_site_fract_z
K1 K 0.0000 0.0000 0.0000
K2 K 0.0000 0.5000 0.0000
U1 U 0.0000 0.5000 0.5000
Ga1 Ga 0.0000 0.0000 0.5000
Te1 Te 0.0000 0.0000 0.2368
Te2 Te 0.0090 0.5045 0.7658
```

Output
Total magnetization: 0.4374 μB per atom
ΔE_f (raw): -0.82 eV per atom



# 10
The following is a GGA-PBE calculation of LaYEr4 after structural relaxation, from Alexandria via LeMat-Bulk.

Cell and atoms, written as CIF:
```
data_LaYEr4
_chemical_formula_sum 'La1 Y1 Er4'
_cell_length_a 3.4046
_cell_length_b 5.8097
_cell_length_c 9.9923
_cell_angle_alpha 90.00
_cell_angle_beta 90.00
_cell_angle_gamma 90.00
_symmetry_space_group_name_H-M 'P m m m'
_symmetry_Int_Tables_number 47
loop_
_symmetry_equiv_pos_as_xyz
'x,y,z'
'-x,-y,-z'
'-x,-y,z'
'x,y,-z'
'x,-y,-z'
'-x,y,z'
'-x,y,-z'
'x,-y,z'
loop_
_atom_site_label
_atom_site_type_symbol
_atom_site_fract_x
_atom_site_fract_y
_atom_site_fract_z
La1 La 0.0000 0.0000 0.0000
Y1 Y 0.5000 0.5000 0.5000
Er1 Er 0.0000 0.5000 0.1926
Er2 Er 0.5000 0.0000 0.3163
```

Output
ΔE_f: 0.20 eV/atom
Total magnetization: 0.0000 μB per atom
Excess energy over the best structure of this formula in the dataset: 0.000 eV per atom